[1]
A relaxed LiAlAgF6 crystal. Source: Alexandria, functional PBE.

- space-group type = No. 102
- N(E_F) (states/eV/f.u.) = 5.2
- raw formation energy (eV per formula unit) = -23.16
- calculated density (g/cm³) = 3.943

Cell lengths 4.7763, 4.7763, 9.4447 Å; angles 90.00, 90.00, 90.00 degrees
With the nearest neighbours (Å) after each atom.
Fractional positions:
Li  0.5000  0.5000  0.1702  6 F 2.08-2.13
Li  0.0000  0.0000  0.6702  6 F 2.08-2.13
Al  0.5000  0.5000  0.8316  6 F 1.83-1.85
Al  0.0000  0.0000  0.3316  6 F 1.83-1.85
Ag  0.5000  0.5000  0.4959  6 F 2.20-2.30
Ag  0.0000  0.0000  0.9959  6 F 2.20-2.30
F  0.1747  0.8253  0.4829  1 Al 1.85
F  0.8253  0.1747  0.4829  1 Al 1.85
F  0.3253  0.3253  0.9829  1 Al 1.85
F  0.6747  0.6747  0.9829  1 Al 1.85
F  0.1936  0.8064  0.1958  1 Al 1.83
F  0.8064  0.1936  0.1958  1 Al 1.83
F  0.3064  0.3064  0.6958  1 Al 1.83
F  0.6936  0.6936  0.6958  1 Al 1.83
F  0.7712  0.2288  0.8225  1 Al 1.83
F  0.2288  0.7712  0.8225  1 Al 1.83
F  0.7288  0.7288  0.3225  1 Al 1.83
F  0.2712  0.2712  0.3225  1 Al 1.83

=====

[2]
A relaxed LaZn2SiAu crystal. Source: Alexandria, functional PBE.

- space-group type = No. 44
- N(E_F) (states/eV/f.u.) = 1.8
- raw formation energy (eV per formula unit) = -2.74
- calculated density (g/cm³) = 8.332

Cell lengths 4.3018, 4.2758, 6.1591 Å; angles 110.31, 110.44, 90.00 degrees
With the nearest neighbours (Å) after each atom.
Fractional positions:
La  0.4403  0.4403  0.8806  4 Si 3.27, 8 Zn 3.27-3.45, 4 Au 3.37-3.50
Zn  0.6925  0.1925  0.3850  2 Si 2.58, 2 Zn 2.61
Zn  0.0545  0.0545  0.1089  1 Si 2.44, 2 Zn 2.61, 2 Au 2.63
Si  0.8272  0.8272  0.6544  3 Zn 2.44-2.58, 2 Au 2.56
Au  0.1977  0.6977  0.3953  2 Si 2.56, 2 Zn 2.63

=====

[3]
A relaxed VNi5Pt2 crystal. Source: Alexandria, functional PBE.

- calculated formation energy (eV per atom) = -0.232
- space-group type = No. 55
- N(E_F) (states/eV/f.u.) = 11.2
- calculated density (g/cm³) = 12.365

Cell lengths 3.6508, 5.2028, 10.3873 Å; angles 90.00, 90.00, 90.00 degrees
With the nearest neighbours (Å) after each atom.
Fractional positions:
V  0.0000  0.0000  0.5000  8 Ni 2.54-2.60, 4 Pt 2.59
V  0.0000  0.5000  0.0000  8 Ni 2.54-2.60, 4 Pt 2.59
Ni  0.0000  0.0000  0.0000  4 Pt 2.58, 6 Ni 2.59-2.65, 2 V 2.60
Ni  0.0000  0.5000  0.5000  4 Pt 2.58, 6 Ni 2.59-2.65, 2 V 2.60
Ni  0.0000  0.4974  0.7554  1 V 2.54, 7 Ni 2.55-2.65, 4 Pt 2.58-2.61
Ni  0.0000  0.5026  0.2446  1 V 2.54, 7 Ni 2.55-2.65, 4 Pt 2.58-2.61
Ni  0.0000  0.0026  0.2554  1 V 2.54, 7 Ni 2.55-2.65, 4 Pt 2.58-2.61
Ni  0.0000  0.9974  0.7446  1 V 2.54, 7 Ni 2.55-2.65, 4 Pt 2.58-2.61
Ni  0.5000  0.2499  0.8746  6 Ni 2.55-2.62, 4 Pt 2.59-2.61, 2 V 2.59
Ni  0.5000  0.7501  0.1254  6 Ni 2.55-2.62, 4 Pt 2.59-2.61, 2 V 2.59
Ni  0.5000  0.2501  0.3746  6 Ni 2.55-2.62, 4 Pt 2.59-2.61, 2 V 2.59
Ni  0.5000  0.7499  0.6254  6 Ni 2.55-2.62, 4 Pt 2.59-2.61, 2 V 2.59
Pt  0.5000  0.2517  0.6239  10 Ni 2.58-2.61, 2 V 2.59
Pt  0.5000  0.7483  0.3761  10 Ni 2.58-2.61, 2 V 2.59
Pt  0.5000  0.2483  0.1239  10 Ni 2.58-2.61, 2 V 2.59
Pt  0.5000  0.7517  0.8761  10 Ni 2.58-2.61, 2 V 2.59

=====

[4]
A relaxed MgNi2Os crystal. Source: Alexandria, functional PBE.

- calculated formation energy (eV per atom) = 0.012
- space-group type = No. 25
- N(E_F) (states/eV/f.u.) = 3.4
- calculated density (g/cm³) = 10.624

Cell lengths 4.3228, 2.6396, 4.5468 Å; angles 90.01, 90.00, 90.00 degrees
With the nearest neighbours (Å) after each atom.
Fractional positions:
Mg  0.5000  0.6255  0.8171  8 Ni 2.60-2.66, 2 Mg 2.64, 2 Os 2.80
Ni  0.0000  0.1249  0.9453  4 Os 2.56-2.70, 4 Mg 2.60, 4 Ni 2.64-2.73
Ni  0.5000  0.1246  0.3104  4 Os 2.59, 4 Mg 2.60-2.66, 4 Ni 2.64-2.73
Os  0.0000  0.6249  0.4272  8 Ni 2.56-2.70, 2 Os 2.64, 2 Mg 2.80